Entry from Alexandria: a geometry-optimized TlCdSe2Br structure (GGA-PBEsol).

## Properties
**Energy relative to the elements, uncorrected**: -29.5 meV per atom
**Distance to the lowest polymorph of the same formula**: 0.00 eV per formula unit
**Total magnetic moment**: 0.0 μB/f.u.

Unit cell a=5.142 b=5.142 c=5.592 alpha=90.00 beta=90.00 gamma=90.00
Space group P4/mmm (No. 123)
Inequivalent atoms, fractional coordinates:
Tl  0.000  0.000  0.000 (multiplicity 1)
Cd  0.500  0.500  0.500 (multiplicity 1)
Se  0.000  0.500  0.500 (multiplicity 2)
Br  0.500  0.500  0.000 (multiplicity 1)


Entry from Alexandria: a geometry-optimized Cd2SiBr structure (GGA-PBEsol).

## Properties
**Energy relative to the elements, uncorrected**: -0.8 meV per atom
**Distance to the lowest polymorph of the same formula**: 0.00 eV per formula unit
**Total magnetic moment**: 0.0 μB/f.u.

Unit cell a=3.8334 b=3.8334 c=21.7392 alpha=90.00 beta=90.00 gamma=120.00
Space group R-3m (No. 166, hexagonal axes)
Inequivalent atoms, fractional coordinates:
Cd  0.0000  0.0000  0.2380 (multiplicity 6)
Si  0.0000  0.0000  0.5000 (multiplicity 3)
Br  0.0000  0.0000  0.0000 (multiplicity 3)